# 1
5
Lattice="3.902 0.000 0.000 0.000 3.902 0.000 0.000 0.000 7.650" Properties=species:S:1:pos:R:3 comment="SiAuSeN2 | the Alexandria database | GGA-PBE | relaxed" crystal_system=tetragonal energy_ev_per_cell=-20.1 total_magnetization_mub_per_atom=0.61 raw_formation_energy_kj_per_mol_fu=838.5 polymorph_energy_ev_per_atom=1.122 pbc="T T T"
Si 1.951 1.951 3.825
Au 0.000 0.000 0.000
Se 0.000 0.000 3.825
N 0.000 1.951 0.000
N 1.951 0.000 0.000



# 2
6
Lattice="-4.399 3.433 0.809 -4.446 -1.769 2.983 -0.996 2.147 5.117" Properties=species:S:1:pos:R:3 comment="NdNpGe4 | the Alexandria database | GGA-PBE | relaxed" crystal_system=cubic energy_ev_per_cell=-37.2 total_magnetization_mub_per_atom=0.94 pbc="T T T"
Np -2.460 0.953 2.227
Ge -5.647 1.313 3.021
Ge -3.935 3.256 4.080
Ge -6.141 2.379 5.560
Ge -3.959 0.675 5.158
Nd 0.000 0.000 0.000



# 3
6
Lattice="4.943 0.000 0.000 2.471 4.281 0.000 2.471 1.427 4.036" Properties=species:S:1:pos:R:3 comment="SmGaCo4 | the Alexandria database | GGA-PBE | relaxed" crystal_system=cubic energy_ev_per_cell=-36.8 total_magnetization_mub_per_atom=0.74 pbc="T T T"
Co 4.943 2.854 0.521
Co 4.943 1.442 2.517
Co 6.165 3.560 2.517
Co 3.721 3.560 2.517
Ga 2.471 1.427 1.009
Sm 0.000 0.000 0.000



# 4
5
Lattice="-1.900 -1.971 3.047 3.227 -2.490 0.401 2.747 1.016 5.124" Properties=species:S:1:pos:R:3 comment="LiGe2Ru2 | the Alexandria database | GGA-PBE | relaxed" crystal_system=tetragonal energy_ev_per_cell=-30.6 total_magnetization_mub_per_atom=0.00 pbc="T T T"
Ru 0.756 -1.593 4.947
Ru 3.319 -1.852 3.624
Ge 1.166 -1.448 2.544
Ge 2.909 -1.998 6.028
Li 0.000 0.000 0.000



# 5
5
Lattice="4.747 0.000 0.000 0.000 5.244 0.000 0.000 0.000 4.747" Properties=species:S:1:pos:R:3 comment="SrZr2SnB | the Alexandria database | GGA-PBE | relaxed" crystal_system=tetragonal energy_ev_per_cell=-30.0 total_magnetization_mub_per_atom=0.00 pbc="T T T"
Sr 0.000 2.622 0.000
B 0.000 0.000 0.000
Sn 2.374 2.622 2.374
Zr 0.000 0.000 2.374
Zr 2.374 0.000 0.000



# 6
5
Lattice="-0.439 4.132 -3.149 -1.182 -3.157 -3.977 -3.334 0.250 0.792" Properties=species:S:1:pos:R:3 comment="AgHRhPb2 | the Alexandria database | GGA-PBE | relaxed" crystal_system=tetragonal energy_ev_per_cell=-20.5 total_magnetization_mub_per_atom=0.00 polymorph_energy_ev_per_atom=0.000 pbc="T T T"
Pb -0.591 -1.579 -1.989
Pb -0.220 2.066 -1.575
H 0.000 0.000 0.000
Rh -1.667 0.125 0.396
Ag -2.477 0.612 -3.167



# 7
8
Lattice="5.304 0.000 0.000 2.652 4.594 0.000 2.652 1.531 8.655" Properties=species:S:1:pos:R:3 comment="LiCaPr2Hg4 | the Alexandria database | GGA-PBE | relaxed" crystal_system=trigonal energy_ev_per_cell=-18.6 total_magnetization_mub_per_atom=0.00 pbc="T T T"
Li 5.304 3.062 4.328
Ca 0.000 0.000 0.000
Pr 7.956 4.594 6.422
Pr 2.652 1.531 2.233
Hg 5.304 3.062 7.507
Hg 7.956 4.594 3.261
Hg 2.652 1.531 5.395
Hg 5.304 3.062 1.148



# 8
15
Lattice="-6.589 1.311 -4.742 2.552 -7.680 1.461 -3.661 4.390 6.301" Properties=species:S:1:pos:R:3 comment="Na3Ho3TeSe8 | the Alexandria database | GGA-PBE | relaxed" crystal_system=trigonal energy_ev_per_cell=-69.1 total_magnetization_mub_per_atom=0.00 raw_formation_energy_kj_per_mol_fu=-1970.9 pbc="T T T"
Na 0.000 0.000 0.000
Na 1.276 -3.840 0.730
Na -2.018 -3.185 -1.641
Ho -5.125 2.850 0.779
Ho -3.849 -0.990 1.510
Ho -0.554 -1.645 3.881
Te -1.831 2.195 3.150
Se -1.381 -2.421 1.250
Se -6.317 0.441 1.769
Se -4.686 -1.798 -1.116
Se -3.013 -0.181 4.136
Se -5.980 2.095 -1.857
Se -1.718 -4.075 4.876
Se -2.639 1.430 0.547
Se -5.059 -3.410 2.472